1.
{"formula": "Li2U2IrS6", "functional": "PBE", "state": "relaxed", "lattice_angstrom": [[3.172, -5.439, 0.000], [3.172, 5.439, 0.000], [-1.906, 0.000, 6.455]], "species": ["Li", "Li", "U", "U", "Ir", "S", "S", "S", "S", "S", "S"], "frac_coords": [[0.157, 0.843, 0.000], [0.843, 0.157, 0.000], [0.334, 0.666, 0.500], [0.666, 0.334, 0.500], [0.000, 0.000, 0.500], [0.074, 0.384, 0.743], [0.225, 0.225, 0.258], [0.384, 0.074, 0.743], [0.616, 0.926, 0.257], [0.775, 0.775, 0.742], [0.926, 0.616, 0.257]], "e_form_raw_mev_per_atom": -1084}


2.
{"formula": "MnCrCuTeAu", "functional": "PBE", "state": "relaxed", "lattice_angstrom": [[3.886, 0.000, 0.000], [0.000, 3.939, 0.000], [-0.011, 0.000, 6.621]], "species": ["Mn", "Cr", "Cu", "Te", "Au"], "frac_coords": [[0.000, 0.000, 0.000], [0.500, 0.500, 0.997], [0.501, 0.000, 0.258], [0.999, 0.500, 0.722], [0.001, 0.500, 0.295]], "e_form_raw_mev_per_atom": 250}


3.
{"formula": "U2BeNi3Ge4", "functional": "PBE", "state": "relaxed", "lattice_angstrom": [[4.052, 0.000, 0.000], [0.000, 4.052, 0.000], [0.000, 0.000, 9.670]], "species": ["U", "U", "Be", "Ni", "Ni", "Ni", "Ge", "Ge", "Ge", "Ge"], "frac_coords": [[0.000, 0.500, 0.246], [0.500, 0.000, 0.754], [0.500, 0.500, 0.000], [0.000, 0.000, 0.000], [0.000, 0.500, 0.629], [0.500, 0.000, 0.371], [0.000, 0.000, 0.500], [0.000, 0.500, 0.869], [0.500, 0.000, 0.131], [0.500, 0.500, 0.500]], "e_form_mev_per_atom": -350.4}


4.
{"formula": "BaTePt2", "functional": "PBE", "state": "relaxed", "lattice_angstrom": [[3.759, 0.000, 0.000], [0.000, 3.759, 0.000], [0.000, 0.000, 7.191]], "species": ["Ba", "Te", "Pt", "Pt"], "frac_coords": [[0.000, 0.000, 0.000], [0.500, 0.500, 0.607], [0.000, 0.000, 0.481], [0.500, 0.500, 0.250]], "e_form_raw_mev_per_atom": -309}


5.
{"formula": "Zn2FeCu", "functional": "PBE", "state": "relaxed", "lattice_angstrom": [[2.642, 0.000, 0.000], [-1.321, 2.288, 0.000], [0.000, 0.000, 25.759]], "species": ["Zn", "Zn", "Zn", "Zn", "Zn", "Zn", "Fe", "Fe", "Fe", "Cu", "Cu", "Cu"], "frac_coords": [[0.000, 0.000, 0.250], [0.000, 0.000, 0.750], [0.333, 0.667, 0.417], [0.333, 0.667, 0.917], [0.667, 0.333, 0.083], [0.667, 0.333, 0.583], [0.000, 0.000, 0.000], [0.333, 0.667, 0.667], [0.667, 0.333, 0.333], [0.000, 0.000, 0.500], [0.333, 0.667, 0.167], [0.667, 0.333, 0.833]], "e_form_mev_per_atom": -4.4}


6.
{"formula": "Ba2AlTl", "functional": "PBE", "state": "relaxed", "lattice_angstrom": [[4.241, 0.000, 0.000], [-2.121, 3.673, 0.000], [0.000, 0.000, 32.064]], "species": ["Ba", "Ba", "Ba", "Ba", "Ba", "Ba", "Al", "Al", "Al", "Tl", "Tl", "Tl"], "frac_coords": [[0.000, 0.000, 0.246], [0.000, 0.000, 0.754], [0.333, 0.667, 0.420], [0.333, 0.667, 0.913], [0.667, 0.333, 0.087], [0.667, 0.333, 0.580], [0.000, 0.000, 0.500], [0.333, 0.667, 0.167], [0.667, 0.333, 0.833], [0.000, 0.000, 0.000], [0.333, 0.667, 0.667], [0.667, 0.333, 0.333]], "e_form_mev_per_atom": 7.8}


7.
{"formula": "MgSn5", "functional": "PBE", "state": "relaxed", "lattice_angstrom": [[13.615, 0.000, 0.000], [0.000, 3.279, 0.000], [-1.931, 0.000, 7.177]], "species": ["Mg", "Mg", "Sn", "Sn", "Sn", "Sn", "Sn", "Sn", "Sn", "Sn", "Sn", "Sn"], "frac_coords": [[0.000, 0.000, 0.000], [0.500, 0.500, 0.000], [0.158, 0.500, 0.841], [0.166, 0.500, 0.320], [0.334, 0.000, 0.678], [0.339, 0.000, 0.152], [0.499, 0.500, 0.497], [0.658, 0.000, 0.841], [0.666, 0.000, 0.320], [0.834, 0.500, 0.678], [0.839, 0.500, 0.152], [0.999, 0.000, 0.497]], "e_form_mev_per_atom": 4.3}


8.
{"formula": "SrHfCu2Pd", "functional": "PBE", "state": "relaxed", "lattice_angstrom": [[4.880, 0.000, 0.000], [0.000, 4.880, 0.000], [0.000, 0.000, 5.051]], "species": ["Sr", "Hf", "Cu", "Cu", "Pd"], "frac_coords": [[0.000, 0.000, 0.000], [0.500, 0.500, 0.500], [0.000, 0.500, 0.000], [0.500, 0.000, 0.000], [0.000, 0.000, 0.500]], "e_form_mev_per_atom": 1303.8}


9.
{"formula": "Tm5Ga4Ag", "functional": "PBE", "state": "relaxed", "lattice_angstrom": [[3.519, 0.000, 0.000], [0.000, 3.519, 0.000], [0.000, 0.000, 17.896]], "species": ["Tm", "Tm", "Tm", "Tm", "Tm", "Ga", "Ga", "Ga", "Ga", "Ag"], "frac_coords": [[0.000, 0.000, 0.000], [0.000, 0.000, 0.198], [0.000, 0.000, 0.396], [0.000, 0.000, 0.604], [0.000, 0.000, 0.802], [0.500, 0.500, 0.098], [0.500, 0.500, 0.298], [0.500, 0.500, 0.702], [0.500, 0.500, 0.902], [0.500, 0.500, 0.500]], "e_form_mev_per_atom": -521.2}


10.
{"formula": "K5Pb2O6", "functional": "PBE", "state": "relaxed", "lattice_angstrom": [[5.699, -3.624, 0.000], [5.699, 3.624, 0.000], [-0.759, 0.000, 15.091]], "species": ["K", "K", "K", "K", "K", "K", "K", "K", "K", "K", "Pb", "Pb", "Pb", "Pb", "O", "O", "O", "O", "O", "O", "O", "O", "O", "O", "O", "O"], "frac_coords": [[0.110, 0.890, 0.750], [0.190, 0.751, 0.041], [0.249, 0.810, 0.459], [0.311, 0.373, 0.297], [0.373, 0.311, 0.797], [0.627, 0.689, 0.203], [0.689, 0.627, 0.703], [0.751, 0.190, 0.541], [0.810, 0.249, 0.959], [0.890, 0.110, 0.250], [0.166, 0.400, 0.583], [0.400, 0.166, 0.083], [0.600, 0.834, 0.917], [0.834, 0.600, 0.417], [0.055, 0.251, 0.676], [0.115, 0.278, 0.448], [0.251, 0.055, 0.176], [0.278, 0.115, 0.948], [0.408, 0.501, 0.627], [0.499, 0.592, 0.873], [0.501, 0.408, 0.127], [0.592, 0.499, 0.373], [0.722, 0.885, 0.052], [0.749, 0.945, 0.824], [0.885, 0.722, 0.552], [0.945, 0.749, 0.324]], "e_form_raw_mev_per_atom": -1163}


11.
{"formula": "NbHgS2Cl", "functional": "PBE", "state": "relaxed", "lattice_angstrom": [[4.832, 0.000, 0.000], [0.000, 4.832, 0.000], [0.000, 0.000, 5.027]], "species": ["Nb", "Hg", "S", "S", "Cl"], "frac_coords": [[0.000, 0.000, 0.000], [0.500, 0.500, 0.500], [0.000, 0.500, 0.000], [0.500, 0.000, 0.000], [0.000, 0.000, 0.500]], "e_form_raw_mev_per_atom": -449}


12.
{"formula": "Si2BrCl", "functional": "PBE", "state": "relaxed", "lattice_angstrom": [[6.589, 0.000, 0.000], [0.000, 8.894, 0.000], [-1.612, 0.000, 2.878]], "species": ["Si", "Si", "Si", "Si", "Br", "Br", "Cl", "Cl"], "frac_coords": [[0.250, 0.250, 0.000], [0.250, 0.750, 0.000], [0.750, 0.250, 0.000], [0.750, 0.750, 0.000], [0.000, 0.000, 0.000], [0.500, 0.500, 0.000], [0.000, 0.500, 0.000], [0.500, 0.000, 0.000]], "e_form_raw_mev_per_atom": 399}